1.
Density functional theory data (PBE) for a geometry-optimized TlPb2Au structure.

The value obtained for the volume is 110 Å³/f.u. The formation energy from the elements is 5.44 kJ per mole of atoms. The value obtained for the size of the total moment is 0.000 μB/atom. As for the energy above the most stable polymorph in this dataset: 123 meV per atom. Its mass density is 12.31 Mg/m³.

The space group is F-43m (No. 216) and the conventional cell measures 7.6065, 7.6065 and 7.6065 Å, with angles of 90.00, 90.00 and 90.00 degrees. The asymmetric unit holds Tl at (0.0000, 0.0000, 0.0000), Pb at (0.0000, 0.0000, 0.5000), Pb at (0.2500, 0.2500, 0.2500) and Au at (0.2500, 0.2500, 0.7500).

***

2.
Density functional theory data (PBE) for a geometry-optimized Tl7Pb2Au structure.

The value obtained for the volume is 305 Å³/f.u. The formation energy from the elements is 1.01 kJ per mole of atoms. The value obtained for the size of the total moment is 0.000 μB/atom. Its mass density is 11.12 Mg/m³.

The space group is C2/c (No. 15) and the conventional cell measures 15.0784, 8.9800 and 11.5498 Å, with angles of 90.00, 128.75 and 90.00 degrees. The asymmetric unit holds Tl at (0.0000, 0.0701, 0.2500), Tl at (0.0778, 0.3258, 0.0762), Tl at (0.1483, 0.3034, 0.8210), Tl at (0.2136, 0.3850, 0.5559), Pb at (0.1420, 0.0432, 0.6076) and Au at (0.0000, 0.4246, 0.2500).

***

3.
Density functional theory data (PBE) for a geometry-optimized TlPbAu2 structure.

The value obtained for the volume is 107 Å³/f.u. The formation energy from the elements is 0.51 kJ per mole of atoms. The value obtained for the size of the total moment is 0.000 μB/atom. As for the energy above the most stable polymorph in this dataset: 69 meV per atom. Its mass density is 12.55 Mg/m³.

The space group is R3m (No. 160, hexagonal axes) and the conventional cell measures 4.1512, 4.1512 and 21.4318 Å, with angles of 90.00, 90.00 and 120.00 degrees. The asymmetric unit holds Tl at (0.0000, 0.0000, 0.0000), Pb at (0.0000, 0.0000, 0.1705), Au at (0.0000, 0.0000, 0.5864) and Au at (0.0000, 0.0000, 0.7521).

***

4.
Density functional theory data (PBE) for a geometry-optimized Tl3Pb12Au structure.

The value obtained for the volume is 486 Å³/f.u. The formation energy from the elements is 0.46 kJ per mole of atoms. The value obtained for the size of the total moment is 0.000 μB/atom. Its mass density is 11.27 Mg/m³.

The space group is P4/mmm (No. 123) and the conventional cell measures 4.9131, 4.9131 and 20.1234 Å, with angles of 90.00, 90.00 and 90.00 degrees. The asymmetric unit holds Tl at (0.0000, 0.0000, 0.0000), Tl at (0.0000, 0.0000, 0.2566), Pb at (0.0000, 0.5000, 0.1290), Pb at (0.0000, 0.5000, 0.3865), Pb at (0.5000, 0.5000, 0.0000), Pb at (0.5000, 0.5000, 0.2563), Pb at (0.5000, 0.5000, 0.5000) and Au at (0.0000, 0.0000, 0.5000).

***

5.
Density functional theory data (PBE) for a geometry-optimized TlPbAu2 structure.

The value obtained for the volume is 107 Å³/f.u. The formation energy from the elements is -0.24 kJ per mole of atoms. The value obtained for the size of the total moment is 0.000 μB/atom. As for the energy above the most stable polymorph in this dataset: 62 meV per atom. Its mass density is 12.53 Mg/m³.

The space group is R3m (No. 160, hexagonal axes) and the conventional cell measures 4.4416, 4.4416 and 18.7504 Å, with angles of 90.00, 90.00 and 120.00 degrees. The asymmetric unit holds Tl at (0.0000, 0.0000, 0.0000), Pb at (0.0000, 0.0000, 0.7907), Au at (0.0000, 0.0000, 0.2572) and Au at (0.0000, 0.0000, 0.5304).

***

6.
Density functional theory data (PBE) for a geometry-optimized Tl2PbAu9 structure.

The value obtained for the volume is 262 Å³/f.u. The formation energy from the elements is 0.50 kJ per mole of atoms. The value obtained for the size of the total moment is 0.000 μB/atom. Its mass density is 15.16 Mg/m³.

The space group is R-3m (No. 166, hexagonal axes) and the conventional cell measures 5.6605, 5.6605 and 28.2906 Å, with angles of 90.00, 90.00 and 120.00 degrees. The asymmetric unit holds Tl at (0.0000, 0.0000, 0.1376), Pb at (0.0000, 0.0000, 0.0000), Au at (0.0000, 0.0000, 0.3329), Au at (0.0000, 0.0000, 0.5000) and Au at (0.0029, 0.5014, 0.9162).

***

7.
Density functional theory data (PBE) for a geometry-optimized TlPb2Au structure.

The value obtained for the volume is 109 Å³/f.u. The formation energy from the elements is 4.85 kJ per mole of atoms. The value obtained for the size of the total moment is 0.000 μB/atom. As for the energy above the most stable polymorph in this dataset: 117 meV per atom. Its mass density is 12.38 Mg/m³.

The space group is P4/mmm (No. 123) and the conventional cell measures 5.4156, 5.4156 and 3.7296 Å, with angles of 90.00, 90.00 and 90.00 degrees. The asymmetric unit holds Tl at (0.0000, 0.0000, 0.0000), Pb at (0.0000, 0.5000, 0.5000) and Au at (0.5000, 0.5000, 0.0000).

***

8.
Density functional theory data (PBE) for a geometry-optimized TlPb2Au structure.

The value obtained for the volume is 116 Å³/f.u. The formation energy from the elements is -0.01 kJ per mole of atoms. The value obtained for the size of the total moment is 0.000 μB/atom. As for the energy above the most stable polymorph in this dataset: 67 meV per atom. Its mass density is 11.70 Mg/m³.

The space group is R-3m (No. 166, hexagonal axes) and the conventional cell measures 3.7793, 3.7793 and 28.0709 Å, with angles of 90.00, 90.00 and 120.00 degrees. The asymmetric unit holds Tl at (0.0000, 0.0000, 0.0000), Pb at (0.0000, 0.0000, 0.2387) and Au at (0.0000, 0.0000, 0.5000).

***

9.
Density functional theory data (PBE) for a geometry-optimized Tl7PbAu2 structure.

The value obtained for the volume is 297 Å³/f.u. The formation energy from the elements is -0.18 kJ per mole of atoms. The value obtained for the size of the total moment is 0.000 μB/atom. Its mass density is 11.34 Mg/m³.

The space group is I4/mmm (No. 139) and the conventional cell measures 4.9536, 4.9536 and 24.2388 Å, with angles of 90.00, 90.00 and 90.00 degrees. The asymmetric unit holds Tl at (0.0000, 0.0000, 0.0000), Tl at (0.0000, 0.5000, 0.1045), Tl at (0.0000, 0.5000, 0.2500), Pb at (0.0000, 0.0000, 0.5000) and Au at (0.0000, 0.0000, 0.1787).

***

10.
Density functional theory data (PBE) for a geometry-optimized Tl6PbAu8 structure.

The value obtained for the volume is 370 Å³/f.u. The formation energy from the elements is -0.24 kJ per mole of atoms. The value obtained for the size of the total moment is 0.000 μB/atom. Its mass density is 13.50 Mg/m³.

The space group is R-3 (No. 148, hexagonal axes) and the conventional cell measures 8.6999, 8.6999 and 16.9431 Å, with angles of 90.00, 90.00 and 120.00 degrees. The asymmetric unit holds Tl at (0.0026, 0.2398, 0.4050), Pb at (0.0000, 0.0000, 0.0000), Au at (0.0000, 0.0000, 0.1843) and Au at (0.0066, 0.4036, 0.5680).

***

11.
Density functional theory data (PBE) for a geometry-optimized TlPb5Au3 structure.

The value obtained for the volume is 275 Å³/f.u. The formation energy from the elements is 4.93 kJ per mole of atoms. The value obtained for the size of the total moment is 0.000 μB/atom. Its mass density is 11.07 Mg/m³.

The space group is C2/m (No. 12) and the conventional cell measures 10.9044, 9.9048 and 10.9485 Å, with angles of 90.00, 111.63 and 90.00 degrees. The asymmetric unit holds Tl at (0.2297, 0.0000, 0.2455), Pb at (0.0000, 0.2122, 0.5000), Pb at (0.0894, 0.2351, 0.8886), Pb at (0.1738, 0.5000, 0.0934), Pb at (0.2392, 0.0000, 0.5548), Au at (0.0000, 0.0000, 0.0000), Au at (0.9996, 0.5000, 0.2393), Au at (0.0000, 0.5000, 0.5000) and Au at (0.0375, 0.0000, 0.7075).

***

> Number 4 is which compound?

Tl3Pb12Au

***

> Among the records above, which one has the highest formation energy from the elements?

number 1